# Gd3In2NiIr2Pb

Gd3In2NiIr2Pb after structural relaxation (PBE-GGA, the Open Quantum Materials Database).

Its total DFT energy (no corrections) is -52.0 eV/f.u.

It has space group Amm2 (No. 38), with a = 3.868 Å, b = 13.207 Å, c = 7.614 Å, α = 90.00°, β = 90.00° and γ = 90.00°. The asymmetric unit holds Gd at (0.000, 0.000, 0.000), Gd at (0.000, 0.207, 0.386), In at (0.500, 0.125, 0.717), Ni at (0.000, 0.000, 0.597), Ir at (0.500, 0.169, 0.087) and Pb at (0.500, 0.000, 0.343).


# Gd3In3NiIrPd

Gd3In3NiIrPd after structural relaxation (PBE-GGA, the Open Quantum Materials Database).

Its total DFT energy (no corrections) is -48.1 eV/f.u.

It has space group P-6 (No. 174), with a = 7.6019 Å, b = 7.6019 Å, c = 3.8868 Å, α = 90.00°, β = 90.00° and γ = 120.00°. The asymmetric unit holds Gd at (0.0831, 0.7374, 0.0000), In at (0.4198, 0.0870, 0.5000), Ni at (0.6667, 0.3333, 0.0000), Ir at (0.3333, 0.6667, 0.5000) and Pd at (0.0000, 0.0000, 0.5000).


# Gd3InNiSn2Ir2

Gd3InNiSn2Ir2 after structural relaxation (PBE-GGA, the Open Quantum Materials Database).

Its total DFT energy (no corrections) is -54.6 eV/f.u.

It has space group Amm2 (No. 38), with a = 3.840 Å, b = 13.126 Å, c = 7.586 Å, α = 90.00°, β = 90.00° and γ = 90.00°. The asymmetric unit holds Gd at (0.000, 0.000, 0.000), Gd at (0.000, 0.205, 0.618), In at (0.500, 0.000, 0.664), Ni at (0.000, 0.000, 0.404), Sn at (0.500, 0.125, 0.287) and Ir at (0.500, 0.168, 0.914).


# Gd2In2IrPd3

Gd2In2IrPd3 after structural relaxation (PBE-GGA, the Open Quantum Materials Database).

Its total DFT energy (no corrections) is -45.1 eV/f.u.

It has space group P3m1 (No. 156), with a = 4.5997 Å, b = 4.5997 Å, c = 8.9871 Å, α = 90.00°, β = 90.00° and γ = 120.00°. The asymmetric unit holds Gd at (0.0000, 0.0000, 0.0000), Gd at (0.3333, 0.6667, 0.5131), In at (0.6667, 0.3333, 0.2593), In at (0.6667, 0.3333, 0.7685), Ir at (0.3333, 0.6667, 0.8438), Pd at (0.0000, 0.0000, 0.3421), Pd at (0.0000, 0.0000, 0.6649) and Pd at (0.3333, 0.6667, 0.1710).


# Gd3In3Ir2Pd

Gd3In3Ir2Pd after structural relaxation (PBE-GGA, the Open Quantum Materials Database).

Its total DFT energy (no corrections) is -51.8 eV/f.u.

It has space group P-62m (No. 189), with a = 7.6152 Å, b = 7.6152 Å, c = 3.9329 Å, α = 90.00°, β = 90.00° and γ = 120.00°. The asymmetric unit holds Gd at (0.0000, 0.4125, 0.0000), In at (0.0000, 0.7423, 0.5000), Ir at (0.3333, 0.6667, 0.5000) and Pd at (0.0000, 0.0000, 0.0000).


# Tb2GdIn3Ir2Pd

Tb2GdIn3Ir2Pd after structural relaxation (PBE-GGA, the Open Quantum Materials Database).

Its total DFT energy (no corrections) is -51.8 eV/f.u.

It has space group Amm2 (No. 38), with a = 3.905 Å, b = 13.219 Å, c = 7.611 Å, α = 90.00°, β = 90.00° and γ = 90.00°. The asymmetric unit holds Tb at (0.000, 0.206, 0.000), Gd at (0.000, 0.000, 0.382), In at (0.500, 0.000, 0.053), In at (0.500, 0.130, 0.664), Ir at (0.500, 0.167, 0.293) and Pd at (0.000, 0.000, 0.794).


# Gd2TmIn3Ir2Pd

Gd2TmIn3Ir2Pd after structural relaxation (PBE-GGA, the Open Quantum Materials Database).

Its total DFT energy (no corrections) is -51.6 eV/f.u.

It has space group Amm2 (No. 38), with a = 3.884 Å, b = 13.138 Å, c = 7.652 Å, α = 90.00°, β = 90.00° and γ = 90.00°. The asymmetric unit holds Gd at (0.000, 0.206, 0.000), Tm at (0.000, 0.000, 0.386), In at (0.500, 0.000, 0.057), In at (0.500, 0.129, 0.664), Ir at (0.500, 0.164, 0.297) and Pd at (0.000, 0.000, 0.794).


# Gd2YIn3Ir2Pd

Gd2YIn3Ir2Pd after structural relaxation (PBE-GGA, the Open Quantum Materials Database).

Its total DFT energy (no corrections) is -53.6 eV/f.u.

It has space group Amm2 (No. 38), with a = 3.906 Å, b = 13.231 Å, c = 7.616 Å, α = 90.00°, β = 90.00° and γ = 90.00°. The asymmetric unit holds Gd at (0.000, 0.206, 0.000), Y at (0.000, 0.000, 0.385), In at (0.500, 0.000, 0.056), In at (0.500, 0.129, 0.664), Ir at (0.500, 0.168, 0.294) and Pd at (0.000, 0.000, 0.796).


# PrGdIn2Ir4

PrGdIn2Ir4 after structural relaxation (PBE-GGA, the Open Quantum Materials Database).

Its total DFT energy (no corrections) is -53.1 eV/f.u.

It has space group P-6m2 (No. 187), with a = 4.5983 Å, b = 4.5983 Å, c = 9.0503 Å, α = 90.00°, β = 90.00° and γ = 120.00°. The asymmetric unit holds Pr at (0.0000, 0.0000, 0.0000), Gd at (0.3333, 0.6667, 0.5000), In at (0.6667, 0.3333, 0.2540), Ir at (0.0000, 0.0000, 0.3565) and Ir at (0.3333, 0.6667, 0.1663).


# Gd3In3Ir2Pt

Gd3In3Ir2Pt after structural relaxation (PBE-GGA, the Open Quantum Materials Database).

Its total DFT energy (no corrections) is -53.1 eV/f.u.

It has space group P-62m (No. 189), with a = 7.5932 Å, b = 7.5932 Å, c = 3.9580 Å, α = 90.00°, β = 90.00° and γ = 120.00°. The asymmetric unit holds Gd at (0.0000, 0.5911, 0.0000), In at (0.0000, 0.2592, 0.5000), Ir at (0.3333, 0.6667, 0.5000) and Pt at (0.0000, 0.0000, 0.0000).


# Gd3InSn2IrPt2

Gd3InSn2IrPt2 after structural relaxation (PBE-GGA, the Open Quantum Materials Database).

Its total DFT energy (no corrections) is -54.6 eV/f.u.

It has space group Amm2 (No. 38), with a = 3.934 Å, b = 13.207 Å, c = 7.646 Å, α = 90.00°, β = 90.00° and γ = 90.00°. The asymmetric unit holds Gd at (0.000, 0.000, 0.000), Gd at (0.000, 0.202, 0.613), In at (0.500, 0.000, 0.665), Sn at (0.500, 0.128, 0.281), Ir at (0.000, 0.000, 0.401) and Pt at (0.500, 0.167, 0.910).


# KGdIn

KGdIn after structural relaxation (PBE-GGA, the Open Quantum Materials Database).

Its total DFT energy (no corrections) is -7.6 eV/f.u. As for the offset from the most stable computed form: 0.0 kJ per mole of atoms.

It has space group F-43m (No. 216), with a = 7.792 Å, b = 7.792 Å, c = 7.792 Å, α = 90.00°, β = 90.00° and γ = 90.00°. The asymmetric unit holds K at (0.000, 0.000, 0.000), Gd at (0.000, 0.000, 0.500) and In at (0.250, 0.250, 0.750).


# KLaGd2Mg3In2

KLaGd2Mg3In2 after structural relaxation (PBE-GGA, the Open Quantum Materials Database).

Its total DFT energy (no corrections) is -25.7 eV/f.u.

It has space group Amm2 (No. 38), with a = 4.808 Å, b = 14.103 Å, c = 7.943 Å, α = 90.00°, β = 90.00° and γ = 90.00°. The asymmetric unit holds K at (0.000, 0.000, 0.000), La at (0.000, 0.000, 0.570), Gd at (0.000, 0.220, 0.205), Mg at (0.500, 0.000, 0.265), Mg at (0.500, 0.135, 0.852) and In at (0.500, 0.170, 0.484).


# KGdInTe3

KGdInTe3 after structural relaxation (PBE-GGA, the Open Quantum Materials Database).

Its total DFT energy (no corrections) is -23.3 eV/f.u.

It has space group Cmcm (No. 63), with a = 4.736 Å, b = 16.065 Å, c = 11.971 Å, α = 90.00°, β = 90.00° and γ = 90.00°. The asymmetric unit holds K at (0.000, 0.242, 0.250), Gd at (0.000, 0.000, 0.000), In at (0.000, 0.467, 0.750), Te at (0.000, 0.077, 0.750) and Te at (0.000, 0.370, 0.540).


# KGd2Zn2In

KGd2Zn2In after structural relaxation (PBE-GGA, the Open Quantum Materials Database).

Its total DFT energy (no corrections) is -15.4 eV/f.u.

It has space group P3m1 (No. 156), with a = 4.8596 Å, b = 4.8596 Å, c = 7.9524 Å, α = 90.00°, β = 90.00° and γ = 120.00°. The asymmetric unit holds K at (0.0000, 0.0000, 0.0000), Gd at (0.3333, 0.6667, 0.3343), Gd at (0.3333, 0.6667, 0.7599), Zn at (0.0000, 0.0000, 0.5041), Zn at (0.6667, 0.3333, 0.1842) and In at (0.6667, 0.3333, 0.5955).


# LaGdIn

LaGdIn after structural relaxation (PBE-GGA, the Open Quantum Materials Database).

Its total DFT energy (no corrections) is -12.7 eV/f.u. As for the offset from the most stable computed form: 0.0 kJ per mole of atoms.

It has space group F-43m (No. 216), with a = 7.534 Å, b = 7.534 Å, c = 7.534 Å, α = 90.00°, β = 90.00° and γ = 90.00°. The asymmetric unit holds La at (0.000, 0.000, 0.000), Gd at (0.000, 0.000, 0.500) and In at (0.250, 0.250, 0.750).


# LaGdMg2In2

LaGdMg2In2 after structural relaxation (PBE-GGA, the Open Quantum Materials Database).

Its total DFT energy (no corrections) is -20.5 eV/f.u.

It has space group P3m1 (No. 156), with a = 4.9657 Å, b = 4.9657 Å, c = 7.6351 Å, α = 90.00°, β = 90.00° and γ = 120.00°. The asymmetric unit holds La at (0.0000, 0.0000, 0.0000), Gd at (0.0000, 0.0000, 0.4994), Mg at (0.3333, 0.6667, 0.2391), Mg at (0.6667, 0.3333, 0.7136), In at (0.3333, 0.6667, 0.7689) and In at (0.6667, 0.3333, 0.2869).


# LaGd2Mg3In3

LaGd2Mg3In3 after structural relaxation (PBE-GGA, the Open Quantum Materials Database).

Its total DFT energy (no corrections) is -30.8 eV/f.u.

It has space group Amm2 (No. 38), with a = 4.743 Å, b = 13.385 Å, c = 7.601 Å, α = 90.00°, β = 90.00° and γ = 90.00°. The asymmetric unit holds La at (0.000, 0.000, 0.000), Gd at (0.000, 0.214, 0.646), Mg at (0.500, 0.000, 0.675), Mg at (0.500, 0.121, 0.312), In at (0.000, 0.000, 0.441) and In at (0.500, 0.171, 0.931).


# La2GdMg3TlIn2

La2GdMg3TlIn2 after structural relaxation (PBE-GGA, the Open Quantum Materials Database).

Its total DFT energy (no corrections) is -30.6 eV/f.u.

It has space group Amm2 (No. 38), with a = 4.788 Å, b = 13.312 Å, c = 7.804 Å, α = 90.00°, β = 90.00° and γ = 90.00°. The asymmetric unit holds La at (0.000, 0.214, 0.000), Gd at (0.000, 0.000, 0.361), Mg at (0.500, 0.000, 0.026), Mg at (0.500, 0.121, 0.663), Tl at (0.000, 0.000, 0.777) and In at (0.500, 0.162, 0.286).


# LaGdIn2Ni4

LaGdIn2Ni4 after structural relaxation (PBE-GGA, the Open Quantum Materials Database).

Its total DFT energy (no corrections) is -40.4 eV/f.u. As for the offset from the most stable computed form: 5.5 kJ per mole of atoms.

It has space group P-6m2 (No. 187), with a = 4.4498 Å, b = 4.4498 Å, c = 8.8636 Å, α = 90.00°, β = 90.00° and γ = 120.00°. The asymmetric unit holds La at (0.0000, 0.0000, 0.0000), Gd at (0.3333, 0.6667, 0.5000), In at (0.6667, 0.3333, 0.2624), Ni at (0.0000, 0.0000, 0.3302) and Ni at (0.3333, 0.6667, 0.1883).


# LaGdIn2Ni4

LaGdIn2Ni4 after structural relaxation (PBE-GGA, the Open Quantum Materials Database).

Its total DFT energy (no corrections) is -40.9 eV/f.u. As for the offset from the most stable computed form: 0.0 kJ per mole of atoms.

It has space group Pmm2 (No. 25), with a = 4.075 Å, b = 5.218 Å, c = 7.128 Å, α = 90.00°, β = 90.00° and γ = 90.00°. The asymmetric unit holds La at (0.000, 0.000, 0.000), Gd at (0.000, 0.500, 0.537), In at (0.500, 0.000, 0.612), In at (0.500, 0.500, 0.915), Ni at (0.000, 0.000, 0.379), Ni at (0.000, 0.500, 0.157) and Ni at (0.500, 0.257, 0.274).


# LaGdIn2Pd4

LaGdIn2Pd4 after structural relaxation (PBE-GGA, the Open Quantum Materials Database).

Its total DFT energy (no corrections) is -42.2 eV/f.u.

It has space group P-6m2 (No. 187), with a = 4.6462 Å, b = 4.6462 Å, c = 9.1324 Å, α = 90.00°, β = 90.00° and γ = 120.00°. The asymmetric unit holds La at (0.0000, 0.0000, 0.0000), Gd at (0.3333, 0.6667, 0.5000), In at (0.6667, 0.3333, 0.2586), Pd at (0.0000, 0.0000, 0.3400) and Pd at (0.3333, 0.6667, 0.1730).


# LaGdIn4Pd2

LaGdIn4Pd2 after structural relaxation (PBE-GGA, the Open Quantum Materials Database).

Its total DFT energy (no corrections) is -36.2 eV/f.u.

It has space group Amm2 (No. 38), with a = 7.701 Å, b = 4.564 Å, c = 10.557 Å, α = 90.00°, β = 90.00° and γ = 90.00°. The asymmetric unit holds La at (0.000, 0.000, 0.000), Gd at (0.500, 0.000, 0.853), In at (0.204, 0.000, 0.289), In at (0.305, 0.000, 0.566), Pd at (0.000, 0.000, 0.715) and Pd at (0.500, 0.000, 0.138).


# LaGdZn2In2

LaGdZn2In2 after structural relaxation (PBE-GGA, the Open Quantum Materials Database).

Its total DFT energy (no corrections) is -20.5 eV/f.u.

It has space group P3m1 (No. 156), with a = 4.7305 Å, b = 4.7305 Å, c = 7.6147 Å, α = 90.00°, β = 90.00° and γ = 120.00°. The asymmetric unit holds La at (0.0000, 0.0000, 0.0000), Gd at (0.0000, 0.0000, 0.5010), Zn at (0.3333, 0.6667, 0.2123), Zn at (0.6667, 0.3333, 0.6896), In at (0.3333, 0.6667, 0.7646) and In at (0.6667, 0.3333, 0.2860).


# LiGdIn2

LiGdIn2 after structural relaxation (PBE-GGA, the Open Quantum Materials Database).

Its total DFT energy (no corrections) is -13.6 eV/f.u.

It has space group P4/mmm (No. 123), with a = 3.512 Å, b = 3.512 Å, c = 7.503 Å, α = 90.00°, β = 90.00° and γ = 90.00°. The asymmetric unit holds Li at (0.000, 0.000, 0.000), Gd at (0.000, 0.000, 0.500) and In at (0.500, 0.500, 0.210).